8
Lattice="-2.520 4.524 2.916 5.177 -0.300 3.196 4.846 5.268 -0.089" Properties=species:S:1:pos:R:3 comment="Mo2WSe5, relaxed, DFT PBE" volume_a3_per_fu=198.3 e_form_raw_ev_per_atom=-0.142 pbc="T T T"
Mo 3.922 2.298 4.307
Mo 1.034 5.603 4.186
W 2.648 4.471 5.904
Se 3.333 4.615 3.522
Se 4.484 8.838 3.400
Se 7.602 5.547 3.433
Se 1.122 2.153 0.882
Se 1.774 7.557 2.778

10
Lattice="-3.116 -2.395 3.972 -2.896 -2.733 -3.920 5.660 -0.546 0.182" Properties=species:S:1:pos:R:3 comment="ZrTi2H2, relaxed, DFT PBE" polymorph_energy_mev_per_atom=64 volume_a3_per_fu=63.9 pbc="T T T"
Zr 0.000 0.000 0.000
Zr -0.121 -2.921 -1.856
Ti 2.770 -1.734 -0.837
Ti -1.619 -2.658 1.058
Ti -3.067 -4.024 -0.902
Ti 1.211 -2.931 1.149
H -1.606 -4.204 0.135
H 1.133 -4.390 -1.758
H 1.254 -1.469 0.098
H -1.375 -1.452 -1.954

4
Lattice="6.630 0.002 0.000 3.431 5.674 0.000 -5.031 -2.838 3.256" Properties=species:S:1:pos:R:3 comment="BaReTe2, relaxed, DFT PBE" polymorph_energy_mev_per_atom=823 volume_a3_per_fu=122.4 e_form_raw_ev_per_atom=0.548 pbc="T T T"
Ba 5.031 2.838 0.000
Re 3.315 0.001 1.628
Te 0.000 0.000 0.000
Te 1.716 2.837 1.628

4
Lattice="-1.986 0.348 -2.016 0.466 -2.584 1.111 -7.238 1.900 7.458" Properties=species:S:1:pos:R:3 comment="NaPt, relaxed, DFT PBE" volume_a3_per_fu=37.2 dft_energy_ev_per_atom=-3.60 pbc="T T T"
Na -6.992 1.836 7.205
Na -2.407 -1.067 2.186
Pt -3.697 0.971 3.810
Pt -5.702 -0.202 5.581

15
Lattice="-6.548 5.077 -1.961 3.963 -4.389 -6.111 -5.537 -4.890 5.829" Properties=species:S:1:pos:R:3 comment="Rb3Ce3AgSe8, relaxed, DFT PBE" volume_a3_per_fu=503.4 e_form_raw_ev_per_atom=-1.357 pbc="T T T"
Rb 0.000 0.000 0.000
Rb 1.981 -2.195 -3.056
Rb -1.293 0.344 -4.036
Ce -6.043 0.094 1.934
Ce -4.061 -2.101 -1.121
Ce -0.787 -4.640 -0.141
Ag -2.768 -2.445 2.915
Se -1.300 -2.460 -2.031
Se -6.823 -1.741 -0.211
Se -4.624 0.046 -2.928
Se -3.499 -4.248 0.686
Se -6.524 2.167 0.025
Se -1.598 -6.369 -2.268
Se -3.377 -0.273 0.968
Se -4.746 -3.928 -3.210

6
Lattice="-0.001 -1.043 -3.407 3.563 0.032 -0.010 0.097 -9.932 3.040" Properties=species:S:1:pos:R:3 comment="Ho2CdAu3, relaxed, DFT PBE" polymorph_energy_mev_per_atom=45 volume_a3_per_fu=131.9 pbc="T T T"
Ho 1.861 -8.687 0.796
Ho 1.798 -2.256 -1.173
Cd 1.830 -5.471 -0.189
Au 0.000 0.000 0.000
Au 0.065 -6.608 2.023
Au 0.033 -3.324 1.017